Entry 1:
Compound: Ce3Nd2ThS6
Source: Alexandria
Functional: GGA-PBE
Structure: relaxed

The structure in CIF format:
```
data_Ce3Nd2ThS6
_chemical_formula_sum 'Ce6 Nd4 Th2 S12'
_cell_length_a 17.617
_cell_length_b 4.045
_cell_length_c 8.075
_cell_angle_alpha 90.00
_cell_angle_beta 103.20
_cell_angle_gamma 90.00
_space_group_name_H-M_alt 'C 1 2/m 1'
_space_group_IT_number 12
_space_group_name_Hall '-C 2y'
loop_
_atom_site_label
_atom_site_type_symbol
_atom_site_fract_x
_atom_site_fract_y
_atom_site_fract_z
_atom_site_occupancy
Ce1 Ce 0.000 0.000 0.000 1
Ce2 Ce 0.167 0.500 0.334 1
Nd1 Nd 0.166 0.500 0.833 1
Th1 Th 0.000 0.000 0.500 1
S1 S 0.001 0.500 0.249 1
S2 S 0.166 0.000 0.086 1
S3 S 0.167 0.000 0.582 1
```

## Properties
M_tot = 2.0 μB per formula unit
formation energy (no corrections) = -2006 meV per atom

Entry 2:
Compound: HfVAg
Source: Alexandria
Functional: GGA-PBE
Structure: relaxed

The structure in CIF format:
```
data_HfVAg
_chemical_formula_sum 'Hf4 V4 Ag4'
_cell_length_a 10.280
_cell_length_b 3.313
_cell_length_c 6.651
_cell_angle_alpha 90.00
_cell_angle_beta 108.19
_cell_angle_gamma 90.00
_space_group_name_H-M_alt 'C 1 m 1'
_space_group_IT_number 8
_space_group_name_Hall 'C -2y'
loop_
_atom_site_label
_atom_site_type_symbol
_atom_site_fract_x
_atom_site_fract_y
_atom_site_fract_z
_atom_site_occupancy
Hf1 Hf 0.000 0.000 0.000 1
Hf2 Hf 0.175 0.500 0.805 1
V1 V 0.363 0.000 0.670 1
V2 V 0.480 0.500 0.531 1
Ag1 Ag 0.161 0.500 0.363 1
Ag2 Ag 0.326 0.000 0.187 1
```

## Properties
M_tot = 0.0 μB per formula unit
DFT formation energy = 0.156 eV per atom
E above lowest polymorph = 0 meV/atom

Number 1: N(E_F) 1.414 states/eV per atom. Number 2: N(E_F) 1.105 states/eV per atom.